[1]
A plane-wave DFT calculation with GGA-PBE was carried out for an optimized crystal structure of Sm8Ho2Er3.

extended XYZ file:
```
13
Lattice="10.101 -3.841 0.000 10.101 3.841 0.000 -0.003 0.000 5.667" Properties=species:S:1:pos:R:3 pbc="T T T"
Sm 7.953 2.256 5.666
Sm 3.458 0.000 2.838
Sm 12.247 2.256 0.001
Sm 7.446 0.000 2.836
Sm 12.754 0.000 2.831
Sm 7.953 -2.256 5.666
Sm 16.742 0.000 2.829
Sm 12.247 -2.256 0.001
Ho 5.250 0.000 0.006
Ho 14.950 0.000 5.661
Er 10.100 2.195 2.834
Er 10.101 0.000 0.000
Er 10.100 -2.195 2.834
```

Properties
Symmetry: C2/m, No. 12
Electronic total energy: -0.327 Ry per atom

***

[2]
A plane-wave DFT calculation with GGA-PBE was carried out for an optimized crystal structure of BaIrSN2.

extended XYZ file:
```
5
Lattice="4.285 0.000 0.000 0.000 4.285 0.000 0.000 0.000 6.254" Properties=species:S:1:pos:R:3 pbc="T T T"
Ba 0.000 0.000 0.000
Ir 2.143 2.143 3.127
S 0.000 0.000 3.127
N 0.000 2.143 0.000
N 2.143 0.000 0.000
```

Properties
Symmetry: P4/mmm, No. 123
E_form (uncorrected): 12.7 eV per formula unit

***

[3]
A plane-wave DFT calculation with GGA-PBE was carried out for an optimized crystal structure of Sn2AsPb2.

extended XYZ file:
```
5
Lattice="-2.137 2.137 8.308 2.137 -2.137 8.308 2.137 2.137 -8.308" Properties=species:S:1:pos:R:3 pbc="T T T"
Sn 0.000 0.000 1.451
Sn 0.000 0.000 15.165
As 0.000 0.000 8.308
Pb 2.137 0.000 4.154
Pb 0.000 2.137 4.154
```

Properties
Symmetry: I4/mmm, No. 139
Electronic total energy: -0.270 Ry per atom

***

[4]
A plane-wave DFT calculation with GGA-PBE was carried out for an optimized crystal structure of ZnSiP2.

extended XYZ file:
```
4
Lattice="4.720 0.000 0.000 0.000 4.826 0.000 0.000 0.000 2.665" Properties=species:S:1:pos:R:3 pbc="T T T"
Zn 0.000 0.000 0.000
Si 2.360 2.413 1.362
P 0.000 2.413 1.980
P 2.360 0.000 0.893
```

Properties
Symmetry: Pmm2, No. 25
E_form (uncorrected): 0.6 eV per formula unit

***

[5]
A plane-wave DFT calculation with GGA-PBE was carried out for an optimized crystal structure of Y2Th5C5.

extended XYZ file:
```
12
Lattice="6.102 -1.847 0.000 6.102 1.847 0.000 -3.088 0.000 10.639" Properties=species:S:1:pos:R:3 pbc="T T T"
Y -0.528 0.000 3.026
Y 9.644 0.000 7.613
Th 2.706 0.000 1.529
Th 2.809 0.000 4.761
Th 6.102 0.000 0.000
Th 6.307 0.000 5.879
Th 6.410 0.000 9.110
C -1.544 0.000 5.320
C -1.313 0.000 9.900
C 1.866 0.000 7.289
C 7.250 0.000 3.350
C 10.429 0.000 0.740
```

Properties
Symmetry: C2/m, No. 12
Electronic total energy: -0.599 Ry per atom

***

[6]
A plane-wave DFT calculation with GGA-PBE was carried out for an optimized crystal structure of ScRe2Sb.

extended XYZ file:
```
4
Lattice="-2.028 2.028 4.205 2.028 -2.028 4.205 2.028 2.028 -4.205" Properties=species:S:1:pos:R:3 pbc="T T T"
Sc 0.000 0.000 0.000
Re 2.028 0.000 2.103
Re 0.000 0.000 4.205
Sb 0.000 2.028 2.103
```

Properties
Symmetry: I-4m2, No. 119
E_form (uncorrected): 0.8 eV per formula unit